Entry 1:
Computed, not measured: TlIn2Re after structural relaxation at the PBE level of DFT.

a = 3.1054 Å, b = 3.1054 Å, c = 9.3825 Å
α = 90.00°, β = 90.00°, γ = 90.00°
Last column: nearest neighbours and their distance in Å.
Fractional coordinates of all 4 atoms:
Re (0.0000, 0.0000, 0.4885)  4 In 2.88, 4 Tl 3.03, 4 Re 3.11
Tl (0.5000, 0.5000, 0.7113)  4 Re 3.03, 4 Tl 3.11
In (0.5000, 0.5000, 0.2898)  4 Re 2.88, 4 In 3.11
In (0.0000, 0.0000, 0.0103)  8 In 3.11-3.42

Output
The value obtained for the energy above the most stable polymorph in this dataset is 199 meV/atom. The energy of formation is 0.6520 eV/atom. The symmetry is P4mm.


Entry 2:
Computed, not measured: Ba2Sr4Ca9 after structural relaxation at the PBE level of DFT.

a = 9.9985 Å, b = 12.1999 Å, c = 12.8839 Å
α = 84.02°, β = 105.04°, γ = 74.21°
Last column: nearest neighbours and their distance in Å.
Fractional coordinates of all 30 atoms:
Ca (0.1828, 0.5287, 0.5813)  6 Ca 3.99-4.14, 5 Sr 4.02-4.11, 1 Ba 4.05
Ca (0.4166, 0.6626, 0.4147)  4 Sr 3.98-4.12, 7 Ca 4.00-4.11, 1 Ba 4.03
Ca (0.0829, 0.3349, 0.0828)  7 Ca 3.99-4.08, 4 Sr 4.02-4.15, 1 Ba 4.03
Ca (0.5142, 0.8630, 0.9099)  6 Ca 3.99-4.25, 4 Sr 4.01-4.12, 2 Ba 4.06-4.07
Ca (0.5834, 0.3374, 0.5853)  4 Sr 3.98-4.12, 7 Ca 4.00-4.11, 1 Ba 4.03
Ca (0.7184, 0.2707, 0.9134)  4 Sr 3.99-4.14, 6 Ca 4.01-4.16, 2 Ba 4.10-4.11
Ca (0.7454, 0.9973, 0.7447)  7 Ca 3.96-4.15, 2 Sr 3.97-3.98, 3 Ba 4.06-4.24
Ca (0.9171, 0.6651, 0.9172)  7 Ca 3.99-4.08, 4 Sr 4.02-4.15, 1 Ba 4.03
Ca (0.8496, 0.2048, 0.2425)  3 Sr 4.00-4.07, 6 Ca 4.00-4.20, 3 Ba 4.10-4.20
Ca (0.8172, 0.4713, 0.4187)  6 Ca 3.99-4.14, 5 Sr 4.02-4.11, 1 Ba 4.05
Ca (0.2816, 0.7293, 0.0866)  4 Sr 3.99-4.14, 6 Ca 4.01-4.16, 2 Ba 4.10-4.11
Ca (0.0535, 0.5939, 0.2491)  6 Ca 3.99-4.06, 4 Sr 3.99-4.24, 2 Ba 4.11-4.16
Ca (0.4858, 0.1370, 0.0901)  6 Ca 3.99-4.25, 4 Sr 4.01-4.12, 2 Ba 4.06-4.07
Ca (0.6107, 0.0688, 0.4162)  6 Ca 3.96-4.20, 4 Sr 4.01-4.12, 2 Ba 4.07-4.21
Ca (0.9465, 0.4061, 0.7509)  6 Ca 3.99-4.06, 4 Sr 3.99-4.24, 2 Ba 4.11-4.16
Ca (0.2546, 0.0027, 0.2553)  7 Ca 3.96-4.15, 2 Sr 3.97-3.98, 3 Ba 4.06-4.24
Ca (0.1504, 0.7952, 0.7575)  3 Sr 4.00-4.07, 6 Ca 4.00-4.20, 3 Ba 4.10-4.20
Ca (0.3893, 0.9312, 0.5838)  6 Ca 3.96-4.20, 4 Sr 4.01-4.12, 2 Ba 4.07-4.21
Sr (0.7836, 0.7325, 0.5867)  9 Ca 3.98-4.12, 2 Sr 4.06-4.15, 1 Ba 4.13
Sr (0.6891, 0.5338, 0.0830)  8 Ca 4.00-4.14, 4 Sr 4.06-4.17
Sr (0.6364, 0.8016, 0.2471)  8 Ca 3.97-4.24, 2 Sr 4.06-4.15, 2 Ba 4.15-4.24
Sr (0.4574, 0.3989, 0.2554)  9 Ca 3.98-4.15, 3 Sr 4.06-4.14
Sr (0.3636, 0.1984, 0.7529)  8 Ca 3.97-4.24, 2 Sr 4.06-4.15, 2 Ba 4.15-4.24
Sr (0.5426, 0.6011, 0.7446)  9 Ca 3.98-4.15, 3 Sr 4.06-4.14
Sr (0.2164, 0.2675, 0.4133)  9 Ca 3.98-4.12, 2 Sr 4.06-4.15, 1 Ba 4.13
Sr (0.3109, 0.4662, 0.9170)  8 Ca 4.00-4.14, 4 Sr 4.06-4.17
Ba (0.1242, 0.0662, 0.9229)  9 Ca 4.03-4.24, 2 Ba 4.10-4.18, 1 Sr 4.15
Ba (0.0249, 0.8621, 0.4187)  8 Ca 4.03-4.21, 2 Ba 4.13-4.18, 2 Sr 4.13-4.24
Ba (0.8758, 0.9338, 0.0771)  9 Ca 4.03-4.24, 2 Ba 4.10-4.18, 1 Sr 4.15
Ba (0.9751, 0.1379, 0.5813)  8 Ca 4.03-4.21, 2 Ba 4.13-4.18, 2 Sr 4.13-4.24

Output
The energy of formation is 0.0234 eV/atom. The symmetry is P-1.


Entry 3:
Computed, not measured: NdCdCuPt after structural relaxation at the PBE level of DFT.

a = 4.8778 Å, b = 4.8778 Å, c = 4.8778 Å
α = 60.00°, β = 60.00°, γ = 60.00°
Last column: nearest neighbours and their distance in Å.
Fractional coordinates of all 4 atoms:
Pt (0.7500, 0.7500, 0.7500)  4 Nd 2.99, 4 Cd 2.99
Nd (0.0000, 0.0000, 0.0000)  4 Cu 2.99, 4 Pt 2.99
Cu (0.2500, 0.2500, 0.2500)  4 Cd 2.99, 4 Nd 2.99
Cd (0.5000, 0.5000, 0.5000)  4 Pt 2.99, 4 Cu 2.99

Output
The energy of formation is -0.4712 eV/atom. The symmetry is F-43m.


Entry 4:
Computed, not measured: Pm5DyY8 after structural relaxation at the PBE level of DFT.

a = 8.5069 Å, b = 8.5069 Å, c = 8.5069 Å
α = 110.89°, β = 106.66°, γ = 110.89°
Last column: nearest neighbours and their distance in Å.
Fractional coordinates of all 14 atoms:
Pm (0.2914, 0.1043, 0.9680)  8 Y 3.38-3.58, 2 Pm 3.64
Pm (0.8637, 0.8957, 0.1871)  8 Y 3.38-3.58, 2 Pm 3.64
Pm (0.0320, 0.3234, 0.1363)  8 Y 3.38-3.58, 2 Pm 3.64
Pm (0.8129, 0.6766, 0.7086)  8 Y 3.38-3.58, 2 Pm 3.64
Pm (0.5000, 0.0000, 0.5000)  8 Y 3.14-3.35
Dy (0.2500, 0.5000, 0.7500)  4 Y 3.22
Y (0.5235, 0.6042, 0.2706)  5 Pm 3.35-3.56, 3 Y 3.66-3.69
Y (0.3371, 0.2610, 0.4297)  4 Pm 3.14-3.52, 1 Dy 3.22
Y (0.5703, 0.9074, 0.8313)  4 Pm 3.14-3.52, 1 Dy 3.22
Y (0.6663, 0.3958, 0.9193)  5 Pm 3.35-3.56, 3 Y 3.66-3.69
Y (0.1687, 0.7390, 0.0761)  4 Pm 3.14-3.52, 1 Dy 3.22
Y (0.0807, 0.7471, 0.4765)  5 Pm 3.35-3.56, 3 Y 3.66-3.69
Y (0.9239, 0.0926, 0.6629)  4 Pm 3.14-3.52, 1 Dy 3.22
Y (0.7294, 0.2529, 0.3337)  5 Pm 3.35-3.56, 3 Y 3.66-3.69

Output
The energy of formation is 0.2370 eV/atom. The symmetry is I-4.


Entry 5:
Computed, not measured: TaNb2Te4S2 after structural relaxation at the PBE level of DFT.

a = 3.5256 Å, b = 3.5256 Å, c = 22.2903 Å
α = 90.00°, β = 90.00°, γ = 120.00°
Last column: nearest neighbours and their distance in Å.
Fractional coordinates of all 9 atoms:
Te (0.0000, 0.0000, 0.5605)  3 Nb 2.81
Te (0.0000, 0.0000, 0.7333)  3 Nb 2.80
Te (0.6667, 0.3333, 0.0696)  3 Nb 2.81
Te (0.6667, 0.3333, 0.8968)  3 Nb 2.80
Nb (0.6667, 0.3333, 0.6473)  6 Te 2.80-2.81
Nb (0.0000, 0.0000, 0.9828)  6 Te 2.80-2.81
S (0.6667, 0.3333, 0.2612)  3 Ta 2.53
S (0.6667, 0.3333, 0.3967)  3 Ta 2.54
Ta (0.0000, 0.0000, 0.3289)  6 S 2.53-2.54

Output
The symmetry is P3m1. Its uncorrected formation energy is -0.59 eV/atom.


Entry 6:
Computed, not measured: SnPbSe2F after structural relaxation at the PBE level of DFT.

a = 4.0356 Å, b = 4.0356 Å, c = 15.2323 Å
α = 90.00°, β = 90.00°, γ = 90.00°
Last column: nearest neighbours and their distance in Å.
Fractional coordinates of all 10 atoms:
Se (0.5000, 0.0000, 0.3065)  1 Sn 2.58
Se (0.0000, 0.5000, 0.0949)  4 Sn 2.92
Se (0.0000, 0.5000, 0.6935)  1 Sn 2.58
Se (0.5000, 0.0000, 0.9051)  4 Sn 2.92
F (0.5000, 0.5000, 0.5000)  4 Pb 2.56, 4 F 2.85
F (0.0000, 0.0000, 0.5000)  4 Pb 2.56, 4 F 2.85
Pb (0.0000, 0.5000, 0.3961)  4 F 2.56
Pb (0.5000, 0.0000, 0.6039)  4 F 2.56
Sn (0.5000, 0.0000, 0.1370)  1 Se 2.58
Sn (0.0000, 0.5000, 0.8630)  1 Se 2.58

Output
The symmetry is P4/nmm. Its uncorrected formation energy is -0.96 eV/atom.


Entry 7:
Computed, not measured: Ti3BiF after structural relaxation at the PBE level of DFT.

a = 4.3412 Å, b = 4.3412 Å, c = 4.3412 Å
α = 90.00°, β = 90.00°, γ = 90.00°
Last column: nearest neighbours and their distance in Å.
Fractional coordinates of all 5 atoms:
Ti (0.0000, 0.0000, 0.5000)  2 F 2.17
Ti (0.0000, 0.5000, 0.0000)  2 F 2.17
Ti (0.5000, 0.0000, 0.0000)  2 F 2.17
Bi (0.5000, 0.5000, 0.5000)  12 Ti 3.07
F (0.0000, 0.0000, 0.0000)  6 Ti 2.17

Output
The value obtained for the energy above the most stable polymorph in this dataset is 0 meV/atom. The symmetry is Pm-3m. Its uncorrected formation energy is -0.53 eV/atom.


Entry 8:
Computed, not measured: Tb5PmPd2 after structural relaxation at the PBE level of DFT.

a = 3.8605 Å, b = 6.6644 Å, c = 18.3035 Å
α = 90.00°, β = 90.00°, γ = 106.84°
Last column: nearest neighbours and their distance in Å.
Fractional coordinates of all 16 atoms:
Tb (0.3483, 0.6966, 0.0413)  2 Pd 2.79
Tb (0.3483, 0.6966, 0.4587)  2 Pd 2.79
Tb (0.0548, 0.1096, 0.1059)  2 Pd 3.18, 6 Tb 3.38-3.54
Tb (0.6517, 0.3034, 0.9587)  2 Pd 2.79
Tb (0.0548, 0.1096, 0.3941)  2 Pd 3.18, 6 Tb 3.38-3.54
Tb (0.6223, 0.2446, 0.2500)  2 Pd 2.78
Tb (0.9452, 0.8904, 0.6059)  2 Pd 3.18, 6 Tb 3.38-3.54
Tb (0.3777, 0.7554, 0.7500)  2 Pd 2.78
Tb (0.9452, 0.8904, 0.8941)  2 Pd 3.18, 6 Tb 3.38-3.54
Tb (0.6517, 0.3034, 0.5413)  2 Pd 2.79
Pd (0.7509, 0.5018, 0.1275)  3 Tb 2.78-2.79
Pd (0.2491, 0.4982, 0.6275)  3 Tb 2.78-2.79
Pd (0.7509, 0.5018, 0.3725)  3 Tb 2.78-2.79
Pd (0.2491, 0.4982, 0.8725)  3 Tb 2.78-2.79
Pm (0.3564, 0.7128, 0.2500)  4 Pd 3.25, 3 Tb 3.39-3.56
Pm (0.6436, 0.2872, 0.7500)  4 Pd 3.25, 3 Tb 3.39-3.56

Output
The energy of formation is -0.3623 eV/atom. The symmetry is Cmcm.


Entry 9:
Computed, not measured: Ta2OsPb after structural relaxation at the PBE level of DFT.

a = 5.4204 Å, b = 5.4204 Å, c = 4.6695 Å
α = 64.52°, β = 64.52°, γ = 36.91°
Last column: nearest neighbours and their distance in Å.
Fractional coordinates of all 4 atoms:
Os (0.2500, 0.2500, 0.2500)  4 Ta 2.76, 4 Pb 2.90
Pb (0.7500, 0.7500, 0.7500)  4 Os 2.90, 8 Ta 2.96-3.19
Ta (0.9865, 0.9865, 0.0135)  2 Os 2.76, 4 Ta 2.91, 2 Pb 2.96
Ta (0.5135, 0.5135, 0.4865)  2 Os 2.76, 4 Ta 2.91, 2 Pb 2.96

Output
The energy of formation is 0.3749 eV/atom. The symmetry is Immm.


Entry 10:
Computed, not measured: TiTeH after structural relaxation at the PBE level of DFT.

a = 3.6554 Å, b = 3.6554 Å, c = 30.0196 Å
α = 90.00°, β = 90.00°, γ = 90.00°
Last column: nearest neighbours and their distance in Å.
Fractional coordinates of all 24 atoms:
H (0.7420, 0.2413, 0.4631)  1 Ti 1.76
H (0.7587, 0.2580, 0.7869)  1 Ti 1.76
H (0.2580, 0.2413, 0.5369)  1 Ti 1.76
H (0.2413, 0.2580, 0.2131)  1 Ti 1.76
H (0.7587, 0.7420, 0.7131)  1 Ti 1.76
H (0.2413, 0.7420, 0.2869)  1 Ti 1.76
H (0.2580, 0.7587, 0.9631)  1 Ti 1.76
H (0.7420, 0.7587, 0.0369)  1 Ti 1.76
Ti (0.2579, 0.2417, 0.5957)  1 H 1.76
Ti (0.7421, 0.2417, 0.4043)  1 H 1.76
Ti (0.7583, 0.2579, 0.8457)  1 H 1.76
Ti (0.2417, 0.7421, 0.3457)  1 H 1.76
Ti (0.2579, 0.7583, 0.9043)  1 H 1.76
Ti (0.7583, 0.7421, 0.6543)  1 H 1.76
Ti (0.7421, 0.7583, 0.0957)  1 H 1.76
Ti (0.2417, 0.2579, 0.1543)  1 H 1.76
Te (0.7416, 0.2422, 0.3097)  4 H 2.67-2.68, 5 Ti 2.80-2.84
Te (0.2422, 0.7416, 0.4403)  4 H 2.67-2.68, 5 Ti 2.80-2.84
Te (0.2584, 0.7578, 0.8097)  4 H 2.67-2.68, 5 Ti 2.80-2.84
Te (0.2584, 0.2422, 0.6903)  4 H 2.67-2.68, 5 Ti 2.80-2.84
Te (0.2422, 0.2584, 0.0597)  4 H 2.67-2.68, 5 Ti 2.80-2.84
Te (0.7416, 0.7578, 0.1903)  4 H 2.67-2.68, 5 Ti 2.80-2.84
Te (0.7578, 0.7416, 0.5597)  4 H 2.67-2.68, 5 Ti 2.80-2.84
Te (0.7578, 0.2584, 0.9403)  4 H 2.67-2.68, 5 Ti 2.80-2.84

Output
The symmetry is P4_122.


Entry 11:
Computed, not measured: InW after structural relaxation at the PBE level of DFT.

a = 4.7208 Å, b = 4.7208 Å, c = 5.4066 Å
α = 90.00°, β = 90.00°, γ = 120.00°
Last column: nearest neighbours and their distance in Å.
Fractional coordinates of all 4 atoms:
W (0.6667, 0.3333, 0.2500)  5 In 2.70-2.73
W (0.3333, 0.6667, 0.7500)  5 In 2.70-2.73
In (0.6667, 0.3333, 0.7500)  5 W 2.70-2.73
In (0.3333, 0.6667, 0.2500)  5 W 2.70-2.73

Output
The value obtained for the energy above the most stable polymorph in this dataset is 1602 meV/atom. The energy of formation is 2.0044 eV/atom. The symmetry is P6_3/mmc.


Entry 12:
Computed, not measured: Rb2ScVSe4 after structural relaxation at the PBE level of DFT.

a = 6.2598 Å, b = 7.8254 Å, c = 12.9466 Å
α = 84.45°, β = 76.01°, γ = 66.42°
Last column: nearest neighbours and their distance in Å.
Fractional coordinates of all 16 atoms:
Rb (0.8210, 0.0000, 0.3579)  8 Se 3.74-3.92
Rb (0.5710, 0.5000, 0.8579)  8 Se 3.74-3.92
Rb (0.9290, 0.5000, 0.1421)  8 Se 3.74-3.92
Rb (0.1790, 0.0000, 0.6421)  8 Se 3.74-3.92
Se (0.5800, 0.2003, 0.1042)  1 V 2.43, 1 Sc 2.57
Se (0.5303, 0.2997, 0.6042)  1 V 2.43, 1 Sc 2.57
Se (0.8656, 0.7003, 0.6042)  1 V 2.43, 1 Sc 2.57
Se (0.2197, 0.2003, 0.8958)  1 V 2.43, 1 Sc 2.57
Se (0.8844, 0.7997, 0.8958)  1 V 2.43, 1 Sc 2.57
Se (0.4342, 0.7003, 0.3958)  1 V 2.43, 1 Sc 2.57
Se (0.1700, 0.2997, 0.3958)  1 V 2.43, 1 Sc 2.57
Se (0.3158, 0.7997, 0.1042)  1 V 2.43, 1 Sc 2.57
Sc (0.7500, 0.5000, 0.5000)  4 Se 2.57
Sc (0.0000, 0.0000, 0.0000)  4 Se 2.57
V (0.2500, 0.5000, 0.5000)  4 Se 2.43
V (0.5000, 0.0000, 0.0000)  4 Se 2.43

Output
The symmetry is Fddd. Its uncorrected formation energy is -1.15 eV/atom.


Number 1: volume 90.5 Å³ per cell, E_tot -4.421 eV/atom. Number 2: volume 1434.4 Å³ per cell, E_tot -1.882 eV/atom. Number 3: volume 82.1 Å³ per cell, E_tot -4.426 eV/atom. Number 4: volume 473.1 Å³ per cell, E_tot -5.482 eV/atom. Number 5: volume 239.9 Å³ per cell, E_tot -6.463 eV/atom. Number 6: volume 248.1 Å³ per cell, E_tot -4.268 eV/atom. Number 7: volume 81.8 Å³ per cell, E_tot -6.417 eV/atom. Number 8: volume 450.7 Å³ per cell, E_tot -5.148 eV/atom. Number 9: volume 73.4 Å³ per cell, E_tot -9.286 eV/atom. Number 10: volume 401.1 Å³ per cell, E_tot -5.137 eV/atom. Number 11: volume 104.3 Å³ per cell, E_tot -5.841 eV/atom. Number 12: volume 564.0 Å³ per cell, E_tot -5.063 eV/atom.